A relaxed Ac12SnOs5 crystal. Source: the Alexandria database, functional PBE.

Lattice parameters (Å, degrees): 9.1872 9.1872 9.1872 105.56 112.39 110.53
Last column: nearest neighbours and their distance in Å.
Fractional positions:
Ac  0.5429  0.8204  0.7225  4 Os 3.20-3.40
Ac  0.4571  0.1796  0.2775  4 Os 3.20-3.40
Ac  0.9020  0.1796  0.7225  4 Os 3.20-3.40
Ac  0.0980  0.8204  0.2775  4 Os 3.20-3.40
Ac  0.6808  0.6705  0.3512  3 Os 3.05-3.16
Ac  0.3192  0.3295  0.6488  3 Os 3.05-3.16
Ac  0.3192  0.6705  0.9897  3 Os 3.05-3.16
Ac  0.6808  0.3295  0.0103  3 Os 3.05-3.16
Ac  0.8125  0.5865  0.7740  2 Os 2.95-3.19
Ac  0.1875  0.4135  0.2260  2 Os 2.95-3.19
Ac  0.1875  0.9615  0.7740  2 Os 2.95-3.19
Ac  0.8125  0.0385  0.2260  2 Os 2.95-3.19
Sn  0.0000  0.5000  0.5000  12 Ac 3.62-4.05
Os  0.6648  0.6648  0.0000  8 Ac 2.95-3.27
Os  0.3352  0.3352  0.0000  8 Ac 2.95-3.27
Os  0.5000  0.1115  0.6115  1 Os 2.48
Os  0.5000  0.8885  0.3885  1 Os 2.48
Os  0.0000  0.0000  0.0000  8 Ac 3.19-3.40, 2 Os 3.51

Output
Magnetic moment, Bohr magnetons per cell: 0.00
Crystal system: orthorhombic
E, eV/atom: -6.157
DFT formation energy, eV per formula unit: -1.37
DOS at the Fermi energy, states/eV per cell: 14.91

***

A relaxed SmDySCl crystal. Source: the Alexandria database, functional PBE.

Lattice parameters (Å, degrees): 3.8067 3.8087 7.7440 90.01 104.15 120.02
Last column: nearest neighbours and their distance in Å.
Fractional positions:
Sm  0.9401  0.3681  0.3238  3 S 2.72
Dy  0.3270  0.5614  0.9037  3 S 2.67, 3 Cl 2.97
S  0.1292  0.9626  0.1073  3 Dy 2.67, 3 Sm 2.72
Cl  0.4816  0.1387  0.6348  3 Dy 2.97, 3 Sm 3.18-3.19

Output
Magnetic moment, Bohr magnetons per cell: 0.00
Crystal system: monoclinic
E, eV/atom: -5.422
DOS at the Fermi energy, states/eV per cell: 2.57

***

A relaxed Cd3MoRu crystal. Source: the Alexandria database, functional PBE.

Lattice parameters (Å, degrees): 5.0968 5.0968 5.0968 90.00 90.00 90.00
Last column: nearest neighbours and their distance in Å.
Fractional positions:
Ru  0.0000  0.0000  0.0000  6 Cd 2.55
Mo  0.5000  0.5000  0.5000  12 Cd 3.60
Cd  0.0000  0.5000  0.0000  2 Ru 2.55
Cd  0.0000  0.0000  0.5000  2 Ru 2.55
Cd  0.5000  0.0000  0.0000  2 Ru 2.55

Output
Magnetic moment, Bohr magnetons per cell: 4.63
Crystal system: cubic
ΔE to the lowest computed polymorph, meV/atom: 0
E, eV/atom: -3.260
DFT formation energy, eV per formula unit: 6.55
DOS at the Fermi energy, states/eV per cell: 2.86

***

A relaxed Nd2Sm3Ni2 crystal. Source: the Alexandria database, functional PBE.

Lattice parameters (Å, degrees): 3.7252 6.4255 8.7578 72.14 77.72 73.15
Last column: nearest neighbours and their distance in Å.
Fractional positions:
Nd  0.1654  0.4770  0.1923  2 Ni 2.93
Nd  0.8346  0.5230  0.8077  2 Ni 2.93
Sm  0.5000  0.0000  0.0000  4 Ni 2.91
Sm  0.3840  0.8020  0.4300  3 Ni 2.83-3.09
Sm  0.6160  0.1980  0.5700  3 Ni 2.83-3.09
Ni  0.1659  0.9022  0.7659  5 Sm 2.83-3.09, 2 Nd 2.93
Ni  0.8341  0.0978  0.2341  5 Sm 2.83-3.09, 2 Nd 2.93

Output
Magnetic moment, Bohr magnetons per cell: 0.00
Crystal system: monoclinic
E, eV/atom: -5.228
DFT formation energy, eV per formula unit: -1.34
DOS at the Fermi energy, states/eV per cell: 9.00

***

A relaxed LiRePb2 crystal. Source: the Alexandria database, functional PBE.

Lattice parameters (Å, degrees): 3.0010 3.0010 10.7493 90.00 90.00 107.12
Last column: nearest neighbours and their distance in Å.
Fractional positions:
Li  0.5000  0.5000  0.7141  2 Re 2.69, 4 Li 3.00
Pb  0.0000  0.0000  0.9483  4 Pb 3.00, 2 Li 3.09
Pb  0.5000  0.5000  0.3113  2 Re 2.92, 4 Pb 3.00
Re  0.0000  0.0000  0.5263  2 Li 2.69, 2 Pb 2.92, 4 Re 3.00

Output
Magnetic moment, Bohr magnetons per cell: 0.00
Crystal system: orthorhombic
ΔE to the lowest computed polymorph, meV/atom: 171
E, eV/atom: -4.808
DFT formation energy, eV per formula unit: 2.55
DOS at the Fermi energy, states/eV per cell: 2.63

***

A relaxed ScTaHg2 crystal. Source: the Alexandria database, functional PBE.

Lattice parameters (Å, degrees): 5.8488 5.8488 5.2948 64.45 64.45 30.39
Last column: nearest neighbours and their distance in Å.
Fractional positions:
Hg  0.9966  0.9966  0.0842  4 Sc 3.00-3.12, 3 Ta 3.04-3.09, 5 Hg 3.07-3.13
Hg  0.7502  0.7502  0.6774  4 Ta 3.04-3.08, 5 Hg 3.07-3.13, 3 Sc 3.07-3.08
Sc  0.5053  0.5053  0.5624  7 Hg 3.00-3.12, 3 Ta 3.00-3.25, 2 Sc 3.07
Ta  0.2479  0.2479  0.1760  3 Sc 3.00-3.25, 7 Hg 3.04-3.09, 2 Ta 3.07

Output
Magnetic moment, Bohr magnetons per cell: 0.00
Crystal system: monoclinic
ΔE to the lowest computed polymorph, meV/atom: 62
E, eV/atom: -4.590
DFT formation energy, eV per formula unit: 0.43
DOS at the Fermi energy, states/eV per cell: 2.90

***

A relaxed Ta2B2W crystal. Source: the Alexandria database, functional PBE.

Lattice parameters (Å, degrees): 7.0325 7.0325 2.7182 90.00 90.00 90.00
Last column: nearest neighbours and their distance in Å.
Fractional positions:
B  0.1624  0.6624  0.5000  6 Ta 2.41-2.52
B  0.6624  0.8376  0.5000  6 Ta 2.41-2.52
B  0.8376  0.3376  0.5000  6 Ta 2.41-2.52
B  0.3376  0.1624  0.5000  6 Ta 2.41-2.52
W  0.0000  0.0000  0.0000  2 W 2.72, 4 Ta 2.73, 8 B 2.96
W  0.5000  0.5000  0.0000  2 W 2.72, 4 Ta 2.73, 8 B 2.96
Ta  0.3624  0.8624  0.0000  6 B 2.41-2.52
Ta  0.8624  0.6376  0.0000  6 B 2.41-2.52
Ta  0.6376  0.1376  0.0000  6 B 2.41-2.52
Ta  0.1376  0.3624  0.0000  6 B 2.41-2.52

Output
Magnetic moment, Bohr magnetons per cell: 0.00
Crystal system: tetragonal
ΔE to the lowest computed polymorph, meV/atom: 1299
E, eV/atom: -9.378
DFT formation energy, eV per formula unit: 3.12
DOS at the Fermi energy, states/eV per cell: 7.59

***

A relaxed Pd5Pt2Rh crystal. Source: the Alexandria database, functional PBE.

Lattice parameters (Å, degrees): 4.4962 5.8926 5.8926 90.00 90.00 90.00
Last column: nearest neighbours and their distance in Å.
Fractional positions:
Pd  0.0000  0.7122  0.7122  1 Rh 2.40, 2 Pd 2.50
Pd  0.0000  0.2878  0.7122  1 Rh 2.40, 2 Pd 2.50
Pd  0.0000  0.7122  0.2878  1 Rh 2.40, 2 Pd 2.50
Pd  0.5000  0.0000  0.0000  2 Rh 2.25
Pd  0.0000  0.2878  0.2878  1 Rh 2.40, 2 Pd 2.50
Pt  0.5000  0.5000  0.0000  10 Pd 2.95-3.08
Pt  0.5000  0.0000  0.5000  10 Pd 2.95-3.08
Rh  0.0000  0.0000  0.0000  6 Pd 2.25-2.40

Output
Magnetic moment, Bohr magnetons per cell: 0.00
Crystal system: tetragonal
ΔE to the lowest computed polymorph, meV/atom: 952
E, eV/atom: -4.709
DFT formation energy, eV per formula unit: 7.73
DOS at the Fermi energy, states/eV per cell: 14.41

***

A relaxed Mn2HPdPt crystal. Source: the Alexandria database, functional PBE.

Lattice parameters (Å, degrees): 4.1023 4.1023 3.7088 90.00 90.00 90.00
Last column: nearest neighbours and their distance in Å.
Fractional positions:
H  0.0000  0.0000  0.0000  2 Pd 1.85, 4 Mn 2.05
Mn  0.0000  0.5000  0.0000  2 H 2.05
Mn  0.5000  0.0000  0.0000  2 H 2.05
Pd  0.0000  0.0000  0.5000  2 H 1.85
Pt  0.5000  0.5000  0.5000  8 Mn 2.77, 4 Pd 2.90

Output
Magnetic moment, Bohr magnetons per cell: 8.36
Crystal system: tetragonal
ΔE to the lowest computed polymorph, meV/atom: 0
E, eV/atom: -6.750
DOS at the Fermi energy, states/eV per cell: 2.60

***

A relaxed MgFe2Ru crystal. Source: the Alexandria database, functional PBE.

Lattice parameters (Å, degrees): 6.9276 6.9276 5.5389 51.29 51.29 90.00
Last column: nearest neighbours and their distance in Å.
Fractional positions:
Ru  0.0000  0.0000  0.0000  4 Fe 2.39, 2 Mg 2.59
Ru  0.7500  0.2500  0.5000  4 Fe 2.39, 2 Mg 2.59
Mg  0.5000  0.5000  0.0000  2 Ru 2.59, 4 Fe 2.69
Mg  0.2500  0.7500  0.5000  2 Ru 2.59, 4 Fe 2.69
Fe  0.6565  0.1250  0.2500  2 Ru 2.39, 2 Fe 2.62
Fe  0.0935  0.6250  0.2500  2 Ru 2.39, 2 Fe 2.62
Fe  0.3750  0.3435  0.7500  2 Ru 2.39, 2 Fe 2.62
Fe  0.8750  0.9065  0.7500  2 Ru 2.39, 2 Fe 2.62

Output
Magnetic moment, Bohr magnetons per cell: 11.91
Crystal system: tetragonal
E, eV/atom: -6.359
DFT formation energy, eV per formula unit: 2.36
DOS at the Fermi energy, states/eV per cell: 6.89

***

A relaxed Sm3Pu3MgTe8 crystal. Source: the Alexandria database, functional PBE.

Lattice parameters (Å, degrees): 8.8620 8.8629 8.8541 120.04 90.00 120.00
Last column: nearest neighbours and their distance in Å.
Fractional positions:
Sm  0.0000  0.0000  0.0000  6 Te 3.13-3.14
Sm  0.0000  0.5000  0.0000  6 Te 3.13-3.14
Sm  0.5000  0.5000  0.0000  6 Te 3.13-3.14
Pu  0.5000  0.0000  0.5000  6 Te 3.12-3.13
Pu  0.5000  0.5000  0.5000  6 Te 3.12-3.13
Pu  0.0000  0.5000  0.5000  6 Te 3.12-3.13
Mg  0.0000  0.0000  0.5000  6 Te 3.06
Te  0.2509  0.5018  0.2526  3 Pu 3.12, 3 Sm 3.14
Te  0.7491  0.4982  0.7474  3 Pu 3.12, 3 Sm 3.14
Te  0.7559  0.5118  0.2557  1 Mg 3.06, 2 Sm 3.13, 2 Pu 3.13
Te  0.2441  0.4882  0.7443  1 Mg 3.06, 2 Sm 3.13, 2 Pu 3.13
Te  0.7557  0.9998  0.2555  1 Mg 3.06, 2 Sm 3.13, 2 Pu 3.13
Te  0.2443  0.0002  0.7445  1 Mg 3.06, 2 Sm 3.13, 2 Pu 3.13
Te  0.2441  0.9998  0.2555  1 Mg 3.06, 2 Sm 3.13, 2 Pu 3.13
Te  0.7559  0.0002  0.7445  1 Mg 3.06, 2 Sm 3.13, 2 Pu 3.13

Output
Magnetic moment, Bohr magnetons per cell: 17.44
Crystal system: trigonal
E, eV/atom: -6.780
DOS at the Fermi energy, states/eV per cell: 43.34

***

A relaxed Mg4Be5 crystal. Source: the Alexandria database, functional PBE.

Lattice parameters (Å, degrees): 6.2150 6.2150 6.2150 95.24 95.24 144.81
Last column: nearest neighbours and their distance in Å.
Fractional positions:
Mg  0.0000  0.3048  0.3048  5 Be 2.55-2.62
Mg  0.0000  0.6952  0.6952  5 Be 2.55-2.62
Mg  0.3048  0.0000  0.3048  5 Be 2.55-2.62
Mg  0.6952  0.0000  0.6952  5 Be 2.55-2.62
Be  0.0000  0.0000  0.0000  8 Be 2.41, 4 Mg 2.55
Be  0.3726  0.3726  0.7451  2 Be 2.14
Be  0.3726  0.6274  0.0000  2 Be 2.14
Be  0.6274  0.3726  0.0000  2 Be 2.14
Be  0.6274  0.6274  0.2549  2 Be 2.14

Output
Magnetic moment, Bohr magnetons per cell: 0.00
Crystal system: tetragonal
ΔE to the lowest computed polymorph, meV/atom: 0
E, eV/atom: -2.447
DFT formation energy, eV per formula unit: 2.99
DOS at the Fermi energy, states/eV per cell: 2.87

***

Q: What is the E in the second record?
A: -5.422 eV/atom

***

Q: Number 8 is which compound?
A: Pd5Pt2Rh